Entry 1:
The following is a PBE-GGA calculation of crystalline CoSe at its relaxed geometry, from the Alexandria database.

## Properties
The calculation puts the energy at -43.68 eV for the cell shown. The calculation puts the total moment at 0.00 Bohr magnetons per cell. For the uncorrected formation energy, the calculation gives -0.33 eV per formula unit.

Geometry as CIF:
```
data_CoSe
_chemical_formula_sum 'Co4 Se4'
_cell_length_a 6.608
_cell_length_b 6.548
_cell_length_c 5.217
_cell_angle_alpha 67.24
_cell_angle_beta 66.04
_cell_angle_gamma 46.72
_space_group_name_H-M_alt 'P 1'
_space_group_IT_number 1
_space_group_name_Hall 'P 1'
loop_
_atom_site_label
_atom_site_type_symbol
_atom_site_fract_x
_atom_site_fract_y
_atom_site_fract_z
_atom_site_occupancy
Co1 Co 0.006 0.006 0.244 1
Co2 Co 0.244 0.244 0.006 1
Co3 Co 0.756 0.756 0.994 1
Co4 Co 0.994 0.994 0.756 1
Se1 Se 0.127 0.623 0.127 1
Se2 Se 0.377 0.873 0.377 1
Se3 Se 0.623 0.127 0.623 1
Se4 Se 0.873 0.377 0.873 1
```

Entry 2:
The following is a PBE-GGA calculation of crystalline CoSe at its relaxed geometry, from the Alexandria database.

## Properties
The calculation puts the energy at -32.60 eV for the cell shown. The calculation puts the total moment at 0.00 Bohr magnetons per cell. For the uncorrected formation energy, the calculation gives -0.28 eV per formula unit.

Geometry as CIF:
```
data_CoSe
_chemical_formula_sum 'Co3 Se3'
_cell_length_a 6.066
_cell_length_b 6.066
_cell_length_c 5.908
_cell_angle_alpha 118.16
_cell_angle_beta 118.16
_cell_angle_gamma 31.56
_space_group_name_H-M_alt 'P 1'
_space_group_IT_number 1
_space_group_name_Hall 'P 1'
loop_
_atom_site_label
_atom_site_type_symbol
_atom_site_fract_x
_atom_site_fract_y
_atom_site_fract_z
_atom_site_occupancy
Co1 Co 0.000 0.000 0.000 1
Co2 Co 0.159 0.159 0.521 1
Co3 Co 0.522 0.522 0.678 1
Se1 Se 0.170 0.170 0.919 1
Se2 Se 0.492 0.492 0.257 1
Se3 Se 0.823 0.823 0.588 1
```

Entry 3:
The following is a PBE-GGA calculation of crystalline Co4Se at its relaxed geometry, from the Alexandria database.

## Properties
The calculation puts the energy at -28.57 eV for the cell shown. The calculation puts the total moment at 5.12 Bohr magnetons per cell. For the uncorrected formation energy, the calculation gives 3.34 eV per formula unit.

Geometry as CIF:
```
data_Co4Se
_chemical_formula_sum 'Co4 Se1'
_cell_length_a 4.531
_cell_length_b 4.531
_cell_length_c 4.531
_cell_angle_alpha 109.47
_cell_angle_beta 109.47
_cell_angle_gamma 109.47
_space_group_name_H-M_alt 'P 1'
_space_group_IT_number 1
_space_group_name_Hall 'P 1'
loop_
_atom_site_label
_atom_site_type_symbol
_atom_site_fract_x
_atom_site_fract_y
_atom_site_fract_z
_atom_site_occupancy
Co1 Co 0.000 0.000 0.500 1
Co2 Co 0.000 0.500 0.000 1
Co3 Co 0.500 0.000 0.000 1
Co4 Co 0.500 0.500 0.500 1
Se1 Se 0.000 0.000 0.000 1
```

Entry 4:
The following is a PBE-GGA calculation of crystalline CoSe at its relaxed geometry, from the Alexandria database.

## Properties
The calculation puts the energy at -10.07 eV for the cell shown. The calculation puts the total moment at 0.76 Bohr magnetons per cell. For the uncorrected formation energy, the calculation gives 0.52 eV per formula unit.

Geometry as CIF:
```
data_CoSe
_chemical_formula_sum 'Co1 Se1'
_cell_length_a 3.039
_cell_length_b 3.039
_cell_length_c 3.039
_cell_angle_alpha 90.00
_cell_angle_beta 90.00
_cell_angle_gamma 90.00
_space_group_name_H-M_alt 'P 1'
_space_group_IT_number 1
_space_group_name_Hall 'P 1'
loop_
_atom_site_label
_atom_site_type_symbol
_atom_site_fract_x
_atom_site_fract_y
_atom_site_fract_z
_atom_site_occupancy
Co1 Co 0.000 0.000 0.000 1
Se1 Se 0.500 0.500 0.500 1
```

Entry 5:
The following is a PBE-GGA calculation of crystalline Co3Se at its relaxed geometry, from the Alexandria database.

## Properties
The calculation puts the energy at -23.71 eV for the cell shown. The value obtained for the polymorph energy (0 for the lowest one) is 32 meV per atom. The calculation puts the total moment at 4.26 Bohr magnetons per cell. For the uncorrected formation energy, the calculation gives 1.09 eV per formula unit.

Geometry as CIF:
```
data_Co3Se
_chemical_formula_sum 'Co3 Se1'
_cell_length_a 2.857
_cell_length_b 4.104
_cell_length_c 4.201
_cell_angle_alpha 90.00
_cell_angle_beta 90.00
_cell_angle_gamma 90.00
_space_group_name_H-M_alt 'P 1'
_space_group_IT_number 1
_space_group_name_Hall 'P 1'
loop_
_atom_site_label
_atom_site_type_symbol
_atom_site_fract_x
_atom_site_fract_y
_atom_site_fract_z
_atom_site_occupancy
Co1 Co 0.000 0.000 0.000 1
Co2 Co 0.000 0.500 0.345 1
Co3 Co 0.500 0.000 0.488 1
Se1 Se 0.500 0.500 0.846 1
```

Entry 6:
The following is a PBE-GGA calculation of crystalline Co4Se at its relaxed geometry, from the Alexandria database.

## Properties
The calculation puts the energy at -30.99 eV for the cell shown. The calculation puts the total moment at 5.82 Bohr magnetons per cell. For the uncorrected formation energy, the calculation gives 0.92 eV per formula unit.

Geometry as CIF:
```
data_Co4Se
_chemical_formula_sum 'Co4 Se1'
_cell_length_a 4.421
_cell_length_b 4.421
_cell_length_c 4.421
_cell_angle_alpha 99.70
_cell_angle_beta 99.70
_cell_angle_gamma 131.54
_space_group_name_H-M_alt 'P 1'
_space_group_IT_number 1
_space_group_name_Hall 'P 1'
loop_
_atom_site_label
_atom_site_type_symbol
_atom_site_fract_x
_atom_site_fract_y
_atom_site_fract_z
_atom_site_occupancy
Co1 Co 0.102 0.689 0.791 1
Co2 Co 0.311 0.102 0.413 1
Co3 Co 0.689 0.898 0.587 1
Co4 Co 0.898 0.311 0.209 1
Se1 Se 0.500 0.500 0.000 1
```

Entry 7:
The following is a PBE-GGA calculation of crystalline CoSe at its relaxed geometry, from the Alexandria database.

## Properties
The calculation puts the energy at -20.50 eV for the cell shown. The calculation puts the total moment at 1.34 Bohr magnetons per cell. For the uncorrected formation energy, the calculation gives 0.34 eV per formula unit.

Geometry as CIF:
```
data_CoSe
_chemical_formula_sum 'Co2 Se2'
_cell_length_a 4.008
_cell_length_b 2.927
_cell_length_c 5.940
_cell_angle_alpha 90.00
_cell_angle_beta 90.00
_cell_angle_gamma 90.00
_space_group_name_H-M_alt 'P 1'
_space_group_IT_number 1
_space_group_name_Hall 'P 1'
loop_
_atom_site_label
_atom_site_type_symbol
_atom_site_fract_x
_atom_site_fract_y
_atom_site_fract_z
_atom_site_occupancy
Co1 Co 0.250 0.000 0.113 1
Co2 Co 0.750 0.000 0.887 1
Se1 Se 0.250 0.500 0.781 1
Se2 Se 0.750 0.500 0.219 1
```

Entry 8:
The following is a PBE-GGA calculation of crystalline Co5Se3 at its relaxed geometry, from the Alexandria database.

## Properties
The calculation puts the energy at -44.65 eV for the cell shown. The calculation puts the total moment at 5.49 Bohr magnetons per cell. For the uncorrected formation energy, the calculation gives 1.33 eV per formula unit.

Geometry as CIF:
```
data_Co5Se3
_chemical_formula_sum 'Co5 Se3'
_cell_length_a 5.324
_cell_length_b 5.324
_cell_length_c 3.828
_cell_angle_alpha 90.00
_cell_angle_beta 90.00
_cell_angle_gamma 104.80
_space_group_name_H-M_alt 'P 1'
_space_group_IT_number 1
_space_group_name_Hall 'P 1'
loop_
_atom_site_label
_atom_site_type_symbol
_atom_site_fract_x
_atom_site_fract_y
_atom_site_fract_z
_atom_site_occupancy
Co1 Co 0.000 0.000 0.000 1
Co2 Co 0.000 0.500 0.000 1
Co3 Co 0.276 0.276 0.500 1
Co4 Co 0.500 0.000 0.000 1
Co5 Co 0.724 0.724 0.500 1
Se1 Se 0.188 0.812 0.500 1
Se2 Se 0.500 0.500 0.000 1
Se3 Se 0.812 0.188 0.500 1
```

Entry 9:
The following is a PBE-GGA calculation of crystalline Co3Se at its relaxed geometry, from the Alexandria database.

## Properties
The calculation puts the energy at -23.78 eV for the cell shown. The value obtained for the polymorph energy (0 for the lowest one) is 14 meV per atom. The calculation puts the total moment at 3.83 Bohr magnetons per cell. For the uncorrected formation energy, the calculation gives 1.02 eV per formula unit.

Geometry as CIF:
```
data_Co3Se
_chemical_formula_sum 'Co3 Se1'
_cell_length_a 2.833
_cell_length_b 3.324
_cell_length_c 5.209
_cell_angle_alpha 90.00
_cell_angle_beta 90.00
_cell_angle_gamma 90.00
_space_group_name_H-M_alt 'P 1'
_space_group_IT_number 1
_space_group_name_Hall 'P 1'
loop_
_atom_site_label
_atom_site_type_symbol
_atom_site_fract_x
_atom_site_fract_y
_atom_site_fract_z
_atom_site_occupancy
Co1 Co 0.000 0.000 0.000 1
Co2 Co 0.500 0.500 0.236 1
Co3 Co 0.500 0.500 0.764 1
Se1 Se 0.000 0.000 0.500 1
```

Entry 10:
The following is a PBE-GGA calculation of crystalline Co3Se at its relaxed geometry, from the Alexandria database.

## Properties
The calculation puts the energy at -23.45 eV for the cell shown. The value obtained for the polymorph energy (0 for the lowest one) is 95 meV per atom. The calculation puts the total moment at 4.53 Bohr magnetons per cell. For the uncorrected formation energy, the calculation gives 1.35 eV per formula unit.

Geometry as CIF:
```
data_Co3Se
_chemical_formula_sum 'Co3 Se1'
_cell_length_a 7.815
_cell_length_b 7.815
_cell_length_c 7.815
_cell_angle_alpha 20.41
_cell_angle_beta 20.41
_cell_angle_gamma 20.41
_space_group_name_H-M_alt 'P 1'
_space_group_IT_number 1
_space_group_name_Hall 'P 1'
loop_
_atom_site_label
_atom_site_type_symbol
_atom_site_fract_x
_atom_site_fract_y
_atom_site_fract_z
_atom_site_occupancy
Co1 Co 0.000 0.000 0.000 1
Co2 Co 0.251 0.251 0.251 1
Co3 Co 0.749 0.749 0.749 1
Se1 Se 0.500 0.500 0.500 1
```

Entry 11:
The following is a PBE-GGA calculation of crystalline CoSe at its relaxed geometry, from the Alexandria database.

## Properties
The calculation puts the energy at -43.57 eV for the cell shown. The calculation puts the total moment at 0.00 Bohr magnetons per cell. For the uncorrected formation energy, the calculation gives -0.30 eV per formula unit.

Geometry as CIF:
```
data_CoSe
_chemical_formula_sum 'Co4 Se4'
_cell_length_a 6.079
_cell_length_b 6.079
_cell_length_c 6.079
_cell_angle_alpha 109.47
_cell_angle_beta 109.47
_cell_angle_gamma 109.47
_space_group_name_H-M_alt 'P 1'
_space_group_IT_number 1
_space_group_name_Hall 'P 1'
loop_
_atom_site_label
_atom_site_type_symbol
_atom_site_fract_x
_atom_site_fract_y
_atom_site_fract_z
_atom_site_occupancy
Co1 Co 0.000 0.000 0.738 1
Co2 Co 0.000 0.738 0.000 1
Co3 Co 0.262 0.262 0.262 1
Co4 Co 0.738 0.000 0.000 1
Se1 Se 0.000 0.000 0.375 1
Se2 Se 0.000 0.375 0.000 1
Se3 Se 0.375 0.000 0.000 1
Se4 Se 0.625 0.625 0.625 1
```

Entry 12:
The following is a PBE-GGA calculation of crystalline CoSe3 at its relaxed geometry, from the Alexandria database.

## Properties
The calculation puts the energy at -15.01 eV for the cell shown. The value obtained for the polymorph energy (0 for the lowest one) is 674 meV per atom. The calculation puts the total moment at 1.29 Bohr magnetons per cell. For the uncorrected formation energy, the calculation gives 2.55 eV per formula unit.

Geometry as CIF:
```
data_CoSe3
_chemical_formula_sum 'Co1 Se3'
_cell_length_a 4.711
_cell_length_b 4.711
_cell_length_c 3.162
_cell_angle_alpha 90.00
_cell_angle_beta 90.00
_cell_angle_gamma 90.00
_space_group_name_H-M_alt 'P 1'
_space_group_IT_number 1
_space_group_name_Hall 'P 1'
loop_
_atom_site_label
_atom_site_type_symbol
_atom_site_fract_x
_atom_site_fract_y
_atom_site_fract_z
_atom_site_occupancy
Co1 Co 0.000 0.000 0.000 1
Se1 Se 0.000 0.500 0.500 1
Se2 Se 0.500 0.000 0.500 1
Se3 Se 0.500 0.500 0.000 1
```

Entry 13:
The following is a PBE-GGA calculation of crystalline Co2Se3 at its relaxed geometry, from the Alexandria database.

## Properties
The calculation puts the energy at -25.48 eV for the cell shown. The calculation puts the total moment at 0.00 Bohr magnetons per cell. For the uncorrected formation energy, the calculation gives -0.82 eV per formula unit.

Geometry as CIF:
```
data_Co2Se3
_chemical_formula_sum 'Co2 Se3'
_cell_length_a 9.023
_cell_length_b 9.023
_cell_length_c 9.023
_cell_angle_alpha 21.58
_cell_angle_beta 21.58
_cell_angle_gamma 21.58
_space_group_name_H-M_alt 'P 1'
_space_group_IT_number 1
_space_group_name_Hall 'P 1'
loop_
_atom_site_label
_atom_site_type_symbol
_atom_site_fract_x
_atom_site_fract_y
_atom_site_fract_z
_atom_site_occupancy
Co1 Co 0.101 0.101 0.101 1
Co2 Co 0.899 0.899 0.899 1
Se1 Se 0.278 0.278 0.278 1
Se2 Se 0.500 0.500 0.500 1
Se3 Se 0.722 0.722 0.722 1
```